# AlInNiO4

A geometry-optimized AlInNiO4 structure (GGA+U, Alexandria via LeMat-Bulk).

a = 6.032 Å, b = 6.032 Å, c = 6.032 Å
α = 120.48°, β = 118.81°, γ = 90.63°
Positions (direct):
Al 0.377 0.127 0.250
Al 0.623 0.873 0.750
In 0.000 0.500 0.500
In 0.500 0.500 0.000
Ni 0.000 0.000 0.500
Ni 0.000 0.500 0.000
O 0.244 0.244 0.000
O 0.248 0.240 0.493
O 0.248 0.755 0.007
O 0.256 0.756 0.500
O 0.744 0.244 0.500
O 0.752 0.245 0.993
O 0.752 0.760 0.507
O 0.756 0.756 0.000

VASP energy = -6.014 eV/atom
Symmetry = Imma, No. 74